Entry 1:
This record from Alexandria describes a relaxed Y2InAu4 crystal. The functional is PBE.

a b c (Å): 4.7288 4.7288 9.0567
angles (deg): 74.87 74.87 60.00
With the nearest neighbours (Å) after each atom.
Atoms (fractional coordinates):
Au 0.8657 0.8657 0.4029  4 Y 2.94-3.01, 3 Au 3.20
Au 0.6294 0.6294 0.1117  3 In 2.90, 4 Y 3.00-3.18
Y 0.7522 0.7522 0.7434  8 Au 2.94-3.18
In 0.0000 0.0000 0.0000  6 Au 2.90
Au 0.3706 0.3706 0.8883  3 In 2.90, 4 Y 3.00-3.18
Y 0.2478 0.2478 0.2566  8 Au 2.94-3.18
Au 0.1343 0.1343 0.5971  4 Y 2.94-3.01, 3 Au 3.20

Summary:
**Energy relative to the elements**: -600 meV/atom
**Theoretical density**: 10.729 g/cm3

Entry 2:
This record from Alexandria describes a relaxed Er6SbPt2Se3 crystal. The functional is PBE.

a b c (Å): 4.0527 8.4242 9.3580
angles (deg): 105.91 102.51 90.00
With the nearest neighbours (Å) after each atom.
Atoms (fractional coordinates):
Er 0.6687 0.5826 0.3375  3 Pt 2.81-2.82, 3 Se 2.96-3.04
Er 0.0099 0.2643 0.0198  1 Pt 2.84, 3 Se 2.88-2.99, 2 Sb 2.98
Er 0.3263 0.8805 0.6527  2 Pt 2.82, 3 Se 2.96-3.03, 1 Sb 3.05
Er 0.6737 0.1195 0.3473  2 Pt 2.82, 3 Se 2.96-3.03, 1 Sb 3.05
Er 0.3313 0.4174 0.6625  3 Pt 2.81-2.82, 3 Se 2.96-3.04
Se 0.8395 0.1538 0.6790  6 Er 2.96-3.04
Pt 0.1718 0.3519 0.3435  6 Er 2.81-2.84
Pt 0.8282 0.6481 0.6565  6 Er 2.81-2.84
Se 0.5000 0.5000 0.0000  6 Er 2.88-2.96
Sb 0.5000 0.0000 0.0000  6 Er 2.98-3.05
Se 0.1605 0.8462 0.3210  6 Er 2.96-3.04
Er 0.9901 0.7357 0.9802  1 Pt 2.84, 3 Se 2.88-2.99, 2 Sb 2.98

Summary:
**Formation energy from raw total energies**: -1.44 eV per atom
**Theoretical density**: 9.720 g/cm3